Entry 1:
A plane-wave DFT calculation with PBE was carried out for La5DyAl2 after structural relaxation.

Cell lengths 5.4887, 5.4887, 20.4120 Å; angles 90.00, 90.00, 120.00 degrees
Fractional positions:
La  0.0000  0.0000  0.1543
La  0.0000  0.0000  0.3457
La  0.0000  0.0000  0.6543
La  0.0000  0.0000  0.8457
La  0.3333  0.6667  0.0541
La  0.3333  0.6667  0.2500
La  0.3333  0.6667  0.4459
La  0.6667  0.3333  0.5541
La  0.6667  0.3333  0.7500
La  0.6667  0.3333  0.9459
Dy  0.3333  0.6667  0.7500
Dy  0.6667  0.3333  0.2500
Al  0.3333  0.6667  0.6024
Al  0.3333  0.6667  0.8976
Al  0.6667  0.3333  0.1024
Al  0.6667  0.3333  0.3976

Properties
Symmetry   P6_3/mmc (194)
Spin magnetization   0.0 Bohr magnetons per cell
ΔH_f (0 K)   -49.8 kJ/mol of formula units

---

Entry 2:
A plane-wave DFT calculation with PBE was carried out for La2Dy6Al after structural relaxation.

Cell lengths 9.9205, 9.9205, 3.5016 Å; angles 90.18, 90.18, 57.50 degrees
Fractional positions:
La  0.1715  0.1715  0.4972
La  0.8285  0.8285  0.5028
Dy  0.1683  0.5084  0.9995
Dy  0.2238  0.7762  0.5000
Dy  0.4916  0.8317  0.0005
Dy  0.5084  0.1683  0.9995
Dy  0.7762  0.2238  0.5000
Dy  0.8317  0.4916  0.0005
Al  0.5000  0.5000  0.0000

Properties
Symmetry   C2/m (12)
Spin magnetization   0.0 Bohr magnetons per cell
ΔH_f (0 K)   70.9 kJ/mol of formula units

---

Entry 3:
A plane-wave DFT calculation with PBE was carried out for LaDy5Al6 after structural relaxation.

Cell lengths 8.9080, 8.9080, 8.9080 Å; angles 146.40, 132.09, 59.78 degrees
Fractional positions:
La  0.0000  0.0000  0.0000
Dy  0.1611  0.6611  0.5000
Dy  0.3305  0.3305  0.0000
Dy  0.5000  0.0000  0.5000
Dy  0.6695  0.6695  0.0000
Dy  0.8389  0.3389  0.5000
Al  0.0884  0.8288  0.2595
Al  0.2696  0.5000  0.7696
Al  0.4307  0.1712  0.2595
Al  0.5693  0.8288  0.7405
Al  0.7304  0.5000  0.2304
Al  0.9116  0.1712  0.7405

Properties
Symmetry   Immm (71)
Spin magnetization   0.0 Bohr magnetons per cell
ΔH_f (0 K)   -447.4 kJ/mol of formula units

---

Entry 4:
A plane-wave DFT calculation with PBE was carried out for LaDyAl2 after structural relaxation.

Cell lengths 5.2346, 5.2346, 5.2346 Å; angles 60.00, 60.00, 60.00 degrees
Fractional positions:
La  0.0000  0.0000  0.0000
Dy  0.5000  0.5000  0.5000
Al  0.2500  0.2500  0.2500
Al  0.7500  0.7500  0.7500

Properties
Symmetry   Fm-3m (225)
Spin magnetization   0.0 Bohr magnetons per cell
Offset from the most stable computed form   0.008 eV/atom
ΔH_f (0 K)   -144.9 kJ/mol of formula units

---

Entry 5:
A plane-wave DFT calculation with PBE was carried out for LaDy2Al after structural relaxation.

Cell lengths 4.8507, 4.8507, 4.8058 Å; angles 90.00, 90.00, 90.00 degrees
Fractional positions:
La  0.0000  0.0000  0.0000
Dy  0.0000  0.5000  0.5000
Dy  0.5000  0.0000  0.5000
Al  0.5000  0.5000  0.0000

Properties
Symmetry   P4/mmm (123)
Spin magnetization   0.0 Bohr magnetons per cell
Offset from the most stable computed form   0.028 eV/atom
ΔH_f (0 K)   -61.1 kJ/mol of formula units

---

Entry 6:
A plane-wave DFT calculation with PBE was carried out for LaDy5Al3 after structural relaxation.

Cell lengths 9.1503, 9.1503, 6.6890 Å; angles 90.00, 90.00, 120.00 degrees
Fractional positions:
La  0.0000  0.0000  0.0000
La  0.0000  0.0000  0.5000
Dy  0.0000  0.3313  0.2500
Dy  0.0000  0.6687  0.7500
Dy  0.3313  0.0000  0.2500
Dy  0.3313  0.3313  0.7500
Dy  0.3333  0.6667  0.0000
Dy  0.3333  0.6667  0.5000
Dy  0.6667  0.3333  0.0000
Dy  0.6667  0.3333  0.5000
Dy  0.6687  0.0000  0.7500
Dy  0.6687  0.6687  0.2500
Al  0.0000  0.3412  0.7500
Al  0.0000  0.6588  0.2500
Al  0.3412  0.0000  0.7500
Al  0.3412  0.3412  0.2500
Al  0.6588  0.0000  0.2500
Al  0.6588  0.6588  0.7500

Properties
Symmetry   P6_3/mcm (193)
Spin magnetization   1.3 Bohr magnetons per cell
ΔH_f (0 K)   -216.3 kJ/mol of formula units